# HfScPS (PBE-GGA, optimized geometry)
data_HfScPS
_space_group_name_H-M_alt 'P 1'
_space_group_IT_number 1
_cell_length_a 3.623
_cell_length_b 3.625
_cell_length_c 6.756
_cell_angle_alpha 90.00
_cell_angle_beta 105.51
_cell_angle_gamma 120.02
loop_
_space_group_symop_operation_xyz
'x,y,z'
loop_
_atom_site_label
_atom_site_type_symbol
_atom_site_fract_x
_atom_site_fract_y
_atom_site_fract_z
_atom_site_occupancy
S1 S 0.963 0.380 0.358 1
P1 P 0.306 0.551 0.872 1
Sc1 Sc 0.486 0.141 0.643 1
Hf1 Hf 0.123 0.959 0.097 1
# - final energy (eV/atom) = -7.941
# - space group = R3m, No. 160
# - formation energy from raw total energies (eV/atom) = -1.49

# AgSb4 (PBE-GGA, optimized geometry)
data_AgSb4
_space_group_name_H-M_alt 'P 1'
_space_group_IT_number 1
_cell_length_a 6.007
_cell_length_b 6.007
_cell_length_c 6.007
_cell_angle_alpha 120.47
_cell_angle_beta 120.47
_cell_angle_gamma 89.18
loop_
_space_group_symop_operation_xyz
'x,y,z'
loop_
_atom_site_label
_atom_site_type_symbol
_atom_site_fract_x
_atom_site_fract_y
_atom_site_fract_z
_atom_site_occupancy
Sb1 Sb 0.676 0.676 0.000 1
Sb2 Sb 0.250 0.750 0.500 1
Ag1 Ag 0.000 0.000 0.000 1
Sb3 Sb 0.324 0.324 0.000 1
Sb4 Sb 0.750 0.250 0.500 1
# - final energy (eV/atom) = -3.595
# - distance to the lowest polymorph of the same formula (eV/atom) = 0.189
# - space group = I4/mmm, No. 139
# - formation energy from raw total energies (eV/atom) = 0.27

# La2HgOsN (PBE-GGA, optimized geometry)
data_La2HgOsN
_space_group_name_H-M_alt 'P 1'
_space_group_IT_number 1
_cell_length_a 5.401
_cell_length_b 5.401
_cell_length_c 3.856
_cell_angle_alpha 90.00
_cell_angle_beta 90.00
_cell_angle_gamma 90.00
loop_
_space_group_symop_operation_xyz
'x,y,z'
loop_
_atom_site_label
_atom_site_type_symbol
_atom_site_fract_x
_atom_site_fract_y
_atom_site_fract_z
_atom_site_occupancy
Os1 Os 0.000 0.000 0.500 1
N1 N 0.000 0.000 0.000 1
La1 La 0.500 0.000 0.000 1
La2 La 0.000 0.500 0.000 1
Hg1 Hg 0.500 0.500 0.500 1
# - final energy (eV/atom) = -6.571
# - space group = P4/mmm, No. 123
# - formation energy from raw total energies (eV/atom) = -0.63

# Mg6MnBi (PBE-GGA, optimized geometry)
data_Mg6MnBi
_space_group_name_H-M_alt 'P 1'
_space_group_IT_number 1
_cell_length_a 6.422
_cell_length_b 6.422
_cell_length_c 5.041
_cell_angle_alpha 90.00
_cell_angle_beta 90.00
_cell_angle_gamma 120.37
loop_
_space_group_symop_operation_xyz
'x,y,z'
loop_
_atom_site_label
_atom_site_type_symbol
_atom_site_fract_x
_atom_site_fract_y
_atom_site_fract_z
_atom_site_occupancy
Mg1 Mg 0.151 0.314 0.000 1
Mg2 Mg 0.159 0.841 0.000 1
Mg3 Mg 0.336 0.169 0.500 1
Bi1 Bi 0.332 0.668 0.500 1
Mg4 Mg 0.686 0.849 0.000 1
Mg5 Mg 0.831 0.664 0.500 1
Mn1 Mn 0.833 0.167 0.500 1
Mg6 Mg 0.672 0.328 0.000 1
# - final energy (eV/atom) = -2.752
# - ΔH_f (0 K) (eV per atom) = 0.0753
# - space group = Amm2, No. 38

# TlAsPdO2 (PBE-GGA, optimized geometry)
data_TlAsPdO2
_space_group_name_H-M_alt 'P 1'
_space_group_IT_number 1
_cell_length_a 3.779
_cell_length_b 7.119
_cell_length_c 3.779
_cell_angle_alpha 90.00
_cell_angle_beta 90.00
_cell_angle_gamma 90.00
loop_
_space_group_symop_operation_xyz
'x,y,z'
loop_
_atom_site_label
_atom_site_type_symbol
_atom_site_fract_x
_atom_site_fract_y
_atom_site_fract_z
_atom_site_occupancy
Pd1 Pd 0.500 0.500 0.500 1
Tl1 Tl 0.000 0.500 0.000 1
As1 As 0.000 0.000 0.000 1
O1 O 0.500 0.000 0.000 1
O2 O 0.000 0.000 0.500 1
# - final energy (eV/atom) = -4.530
# - space group = P4/mmm, No. 123
# - formation energy from raw total energies (eV/atom) = -0.10

# AcPu2Os (PBE-GGA, optimized geometry)
data_AcPu2Os
_space_group_name_H-M_alt 'P 1'
_space_group_IT_number 1
_cell_length_a 3.586
_cell_length_b 3.586
_cell_length_c 8.238
_cell_angle_alpha 90.00
_cell_angle_beta 90.00
_cell_angle_gamma 90.00
loop_
_space_group_symop_operation_xyz
'x,y,z'
loop_
_atom_site_label
_atom_site_type_symbol
_atom_site_fract_x
_atom_site_fract_y
_atom_site_fract_z
_atom_site_occupancy
Pu1 Pu 0.000 0.000 0.182 1
Ac1 Ac 0.500 0.500 0.500 1
Pu2 Pu 0.000 0.000 0.818 1
Os1 Os 0.500 0.500 0.000 1
# - final energy (eV/atom) = -10.851
# - distance to the lowest polymorph of the same formula (eV/atom) = 0.076
# - ΔH_f (0 K) (eV per atom) = 0.1492
# - space group = P4/mmm, No. 123

# NaLi2Pt3 (PBE-GGA, optimized geometry)
data_NaLi2Pt3
_space_group_name_H-M_alt 'P 1'
_space_group_IT_number 1
_cell_length_a 5.294
_cell_length_b 6.798
_cell_length_c 6.798
_cell_angle_alpha 76.34
_cell_angle_beta 67.08
_cell_angle_gamma 67.08
loop_
_space_group_symop_operation_xyz
'x,y,z'
loop_
_atom_site_label
_atom_site_type_symbol
_atom_site_fract_x
_atom_site_fract_y
_atom_site_fract_z
_atom_site_occupancy
Pt1 Pt 0.500 0.000 0.500 1
Li1 Li 0.666 0.085 0.085 1
Pt2 Pt 0.000 0.750 0.250 1
Li2 Li 0.336 0.415 0.415 1
Li3 Li 0.334 0.915 0.915 1
Pt3 Pt 0.500 0.750 0.250 1
Li4 Li 0.664 0.585 0.585 1
Na1 Na 0.999 0.750 0.750 1
Na2 Na 0.001 0.250 0.250 1
Pt4 Pt 0.500 0.250 0.750 1
Pt5 Pt 0.000 0.250 0.750 1
Pt6 Pt 0.500 0.500 0.000 1
# - final energy (eV/atom) = -4.303
# - ΔH_f (0 K) (eV per atom) = -0.4252
# - space group = Imma, No. 74

# MoBr3 (PBE-GGA, optimized geometry)
data_MoBr3
_space_group_name_H-M_alt 'P 1'
_space_group_IT_number 1
_cell_length_a 4.594
_cell_length_b 4.594
_cell_length_c 10.269
_cell_angle_alpha 90.00
_cell_angle_beta 90.00
_cell_angle_gamma 138.31
loop_
_space_group_symop_operation_xyz
'x,y,z'
loop_
_atom_site_label
_atom_site_type_symbol
_atom_site_fract_x
_atom_site_fract_y
_atom_site_fract_z
_atom_site_occupancy
Mo1 Mo 0.500 0.500 0.250 1
Br1 Br 0.500 0.500 0.750 1
Br2 Br 0.000 0.000 0.060 1
Br3 Br 0.000 0.000 0.440 1
# - final energy (eV/atom) = -3.761
# - space group = Cmmm, No. 65
# - formation energy from raw total energies (eV/atom) = 0.20

> What is the formula in the first record?

HfScPS